Computed, not measured: a geometry-optimized LiPr2Ga6 structure at the PBE level of DFT.

Results
space group = No. 71
ΔE_f = -0.32 eV/atom
Fermi-level density of states = 2.3 states/eV/f.u.

a = 4.4881 Å, b = 6.9435 Å, c = 7.9980 Å
α = 115.73°, β = 106.29°, γ = 90.00°
Last column: nearest neighbours and their distance in Å.
Fractional positions:
1 Li 0.0000 0.5000 0.0000  4 Ga 3.06
2 Pr 0.8727 0.8727 0.7455  10 Ga 2.94-3.19
3 Pr 0.1273 0.1273 0.2545  10 Ga 2.94-3.19
4 Ga 0.6809 0.8713 0.3619  2 Ga 2.59-2.64
5 Ga 0.3191 0.1287 0.6381  2 Ga 2.59-2.64
6 Ga 0.3191 0.5094 0.6381  2 Ga 2.59-2.64
7 Ga 0.5000 0.2007 0.0000  3 Ga 2.59-2.79
8 Ga 0.5000 0.7993 0.0000  3 Ga 2.59-2.79
9 Ga 0.6809 0.4906 0.3619  2 Ga 2.59-2.64